An optimized crystal structure of BeCu2P. Source: Alexandria, functional GGA-PBE.

## Properties
- Electronic total energy: -4.1359 eV/atom
- ρ: 5.92 g/cm3
- Space-group type: No. 35
- DFT formation energy: 76 kJ/mol of formula units

a b c (Å): 3.2802 3.9441 7.2475
angles (deg): 90.00 90.00 90.00
Last column: nearest neighbours and their distance in Å.
Sites, in units of the cell vectors:
Be: 0.0000 0.0000 0.0000  4 Cu 2.29-2.54, 2 P 2.32
Be: 0.5000 0.5000 0.0000  4 Cu 2.29-2.54, 2 P 2.32
Cu: 0.0000 0.0000 0.4856  8 Cu 2.53-2.76, 2 P 2.66
Cu: 0.0000 0.5000 0.2200  4 Be 2.29-2.54, 2 Cu 2.53
Cu: 0.5000 0.0000 0.2200  4 Be 2.29-2.54, 2 Cu 2.53
Cu: 0.5000 0.5000 0.4856  8 Cu 2.53-2.76, 2 P 2.66
P: 0.0000 0.5000 0.7738  4 Be 2.32-2.56, 4 P 2.56
P: 0.5000 0.0000 0.7738  4 Be 2.32-2.56, 4 P 2.56